Compound: Tb2Pm2PrSm2
Source: Alexandria via LeMat-Bulk
Functional: PBE-GGA
Structure: relaxed

The structure in POSCAR format:
```
Tb2Pm2PrSm2
1.0
5.732 -2.563 0.000
5.732 2.563 0.000
-1.141 0.000 8.042
Tb Pm Pr Sm
2 2 1 2
direct
0.072 0.072 0.213 Tb
0.928 0.928 0.787 Tb
0.357 0.357 0.071 Pm
0.643 0.643 0.929 Pm
0.500 0.500 0.500 Pr
0.215 0.215 0.643 Sm
0.785 0.785 0.357 Sm
```

Computed properties:
E   -4.70 eV per atom

---

Compound: SmDyAg
Source: Alexandria via LeMat-Bulk
Functional: PBE-GGA
Structure: relaxed

The structure in POSCAR format:
```
SmDyAg
1.0
-1.804 1.804 6.403
1.804 -1.804 6.403
1.804 1.804 -6.403
Sm Dy Ag
1 1 1
direct
0.000 0.000 0.000 Sm
0.298 0.298 0.000 Dy
0.657 0.657 0.000 Ag
```

Computed properties:
Relative energy among the computed polymorphs   0.00 eV/f.u.

---

Compound: Sn2GeAu
Source: Alexandria via LeMat-Bulk
Functional: PBE-GGA
Structure: relaxed

The structure in POSCAR format:
```
Sn2GeAu
1.0
4.752 0.000 0.000
0.000 4.752 0.000
0.000 0.000 4.062
Sn Ge Au
2 1 1
direct
0.000 0.500 0.000 Sn
0.500 0.000 0.000 Sn
0.000 0.000 0.500 Ge
0.500 0.500 0.500 Au
```

Computed properties:
E   -3.89 eV per atom